Compound: Sm3In3Ag2Pt
Source: the Open Quantum Materials Database
Functional: GGA-PBE
Structure: optimized geometry Values from VASP.

Cell and atoms, written as Quantum ESPRESSO input:
```
&SYSTEM
  ibrav = 0, nat = 9, ntyp = 4
/
ATOMIC_SPECIES
Sm 150.36 Sm.upf
In 114.82 In.upf
Ag 107.87 Ag.upf
Pt 195.08 Pt.upf
ATOMIC_POSITIONS crystal
Sm 0.000 0.401 0.000
Sm 0.401 0.000 0.000
Sm 0.599 0.599 0.000
In 0.000 0.747 0.500
In 0.253 0.253 0.500
In 0.747 0.000 0.500
Ag 0.333 0.667 0.500
Ag 0.667 0.333 0.500
Pt 0.000 0.000 0.000
CELL_PARAMETERS angstrom
7.808 0.000 0.000
-3.904 6.762 0.000
0.000 0.000 4.083
```

Summary:
theoretical density	9292	kg/m³
calculated total energy	-4.378	eV per atom
total moment	0.0	Bohr magnetons per cell
calculated volume	24.0	Å³ per atom

=====

Compound: Sm3In3AgPt2
Source: the Open Quantum Materials Database
Functional: GGA-PBE
Structure: optimized geometry Values from VASP.

Cell and atoms, written as Quantum ESPRESSO input:
```
&SYSTEM
  ibrav = 0, nat = 9, ntyp = 4
/
ATOMIC_SPECIES
Sm 150.36 Sm.upf
In 114.82 In.upf
Ag 107.87 Ag.upf
Pt 195.08 Pt.upf
ATOMIC_POSITIONS crystal
Sm 0.000 0.415 0.000
Sm 0.415 0.000 0.000
Sm 0.585 0.585 0.000
In 0.000 0.739 0.500
In 0.261 0.261 0.500
In 0.739 0.000 0.500
Ag 0.000 0.000 0.000
Pt 0.333 0.667 0.500
Pt 0.667 0.333 0.500
CELL_PARAMETERS angstrom
7.802 0.000 0.000
-3.901 6.757 0.000
0.000 0.000 3.994
```

Summary:
theoretical density	10201	kg/m³
calculated total energy	-4.953	eV per atom
total moment	0.0	Bohr magnetons per cell
calculated volume	23.4	Å³ per atom

=====

Compound: Tb2SmIn3AgPt2
Source: the Open Quantum Materials Database
Functional: GGA-PBE
Structure: optimized geometry Values from VASP.

Cell and atoms, written as Quantum ESPRESSO input:
```
&SYSTEM
  ibrav = 0, nat = 9, ntyp = 5
/
ATOMIC_SPECIES
Tb 158.93 Tb.upf
Sm 150.36 Sm.upf
In 114.82 In.upf
Ag 107.87 Ag.upf
Pt 195.08 Pt.upf
ATOMIC_POSITIONS crystal
Tb 0.000 0.206 0.794
Tb 0.000 0.794 0.206
Sm 0.000 0.617 0.617
In 0.500 0.205 0.472
In 0.500 0.472 0.205
In 0.500 0.939 0.939
Ag 0.000 0.205 0.205
Pt 0.500 0.538 0.875
Pt 0.500 0.875 0.538
CELL_PARAMETERS angstrom
3.840 0.000 0.000
0.000 6.811 3.920
0.000 -6.811 3.920
```

Summary:
theoretical density	10614	kg/m³
calculated total energy	-4.945	eV per atom
total moment	0.0	Bohr magnetons per cell
calculated volume	22.8	Å³ per atom

=====

Compound: Sm2YIn3AgPt2
Source: the Open Quantum Materials Database
Functional: GGA-PBE
Structure: optimized geometry Values from VASP.

Cell and atoms, written as Quantum ESPRESSO input:
```
&SYSTEM
  ibrav = 0, nat = 9, ntyp = 5
/
ATOMIC_SPECIES
Sm 150.36 Sm.upf
Y 88.91 Y.upf
In 114.82 In.upf
Ag 107.87 Ag.upf
Pt 195.08 Pt.upf
ATOMIC_POSITIONS crystal
Sm 0.000 0.206 0.794
Sm 0.000 0.794 0.206
Y 0.000 0.381 0.381
In 0.500 0.059 0.059
In 0.500 0.528 0.792
In 0.500 0.792 0.528
Ag 0.000 0.792 0.792
Pt 0.500 0.129 0.459
Pt 0.500 0.459 0.129
CELL_PARAMETERS angstrom
3.891 0.000 0.000
0.000 6.791 3.924
0.000 -6.791 3.924
```

Summary:
theoretical density	9866	kg/m³
calculated total energy	-5.154	eV per atom
total moment	0.0	Bohr magnetons per cell
calculated volume	23.0	Å³ per atom

=====

Compound: Sr2In4AgPt
Source: the Open Quantum Materials Database
Functional: GGA-PBE
Structure: optimized geometry Values from VASP.

Cell and atoms, written as Quantum ESPRESSO input:
```
&SYSTEM
  ibrav = 0, nat = 8, ntyp = 4
/
ATOMIC_SPECIES
Sr 87.62 Sr.upf
In 114.82 In.upf
Ag 107.87 Ag.upf
Pt 195.08 Pt.upf
ATOMIC_POSITIONS crystal
Sr 0.000 0.000 0.000
Sr 0.500 0.127 0.127
In 0.202 0.710 0.710
In 0.308 0.417 0.417
In 0.692 0.417 0.417
In 0.798 0.710 0.710
Ag 0.000 0.285 0.285
Pt 0.500 0.845 0.845
CELL_PARAMETERS angstrom
8.015 0.000 0.000
0.000 2.298 5.597
0.000 -2.298 5.597
```

Summary:
theoretical density	7551	kg/m³
calculated total energy	-3.406	eV per atom
total moment	0.0	Bohr magnetons per cell
calculated volume	25.8	Å³ per atom

=====

Compound: Tb3In3AgPt2
Source: the Open Quantum Materials Database
Functional: GGA-PBE
Structure: optimized geometry Values from VASP.

Cell and atoms, written as Quantum ESPRESSO input:
```
&SYSTEM
  ibrav = 0, nat = 9, ntyp = 4
/
ATOMIC_SPECIES
Tb 158.93 Tb.upf
In 114.82 In.upf
Ag 107.87 Ag.upf
Pt 195.08 Pt.upf
ATOMIC_POSITIONS crystal
Tb 0.000 0.587 0.000
Tb 0.413 0.413 0.000
Tb 0.587 0.000 0.000
In 0.000 0.265 0.500
In 0.265 0.000 0.500
In 0.735 0.735 0.500
Ag 0.000 0.000 0.000
Pt 0.333 0.667 0.500
Pt 0.667 0.333 0.500
CELL_PARAMETERS angstrom
7.749 0.000 0.000
-3.875 6.711 0.000
0.000 0.000 3.902
```

Summary:
theoretical density	10796	kg/m³
calculated total energy	-4.941	eV per atom
total moment	0.0	Bohr magnetons per cell
calculated volume	22.5	Å³ per atom

=====

Compound: TbTm2In3AgPt2
Source: the Open Quantum Materials Database
Functional: GGA-PBE
Structure: optimized geometry Values from VASP.

Cell and atoms, written as Quantum ESPRESSO input:
```
&SYSTEM
  ibrav = 0, nat = 9, ntyp = 5
/
ATOMIC_SPECIES
Tb 158.93 Tb.upf
Tm 168.93 Tm.upf
In 114.82 In.upf
Ag 107.87 Ag.upf
Pt 195.08 Pt.upf
ATOMIC_POSITIONS crystal
Tb 0.000 0.000 0.000
Tm 0.000 0.409 0.818
Tm 0.000 0.818 0.409
In 0.500 0.139 0.410
In 0.500 0.410 0.139
In 0.500 0.677 0.677
Ag 0.000 0.410 0.410
Pt 0.500 0.076 0.740
Pt 0.500 0.740 0.076
CELL_PARAMETERS angstrom
3.745 0.000 0.000
0.000 6.772 3.893
0.000 -6.772 3.893
```

Summary:
theoretical density	11262	kg/m³
calculated total energy	-4.901	eV per atom
total moment	0.0	Bohr magnetons per cell
calculated volume	21.9	Å³ per atom

=====

Compound: TbY2In3Ag2Pt
Source: the Open Quantum Materials Database
Functional: GGA-PBE
Structure: optimized geometry Values from VASP.

Cell and atoms, written as Quantum ESPRESSO input:
```
&SYSTEM
  ibrav = 0, nat = 9, ntyp = 5
/
ATOMIC_SPECIES
Tb 158.93 Tb.upf
Y 88.91 Y.upf
In 114.82 In.upf
Ag 107.87 Ag.upf
Pt 195.08 Pt.upf
ATOMIC_POSITIONS crystal
Tb 0.000 0.000 0.000
Y 0.000 0.397 0.794
Y 0.000 0.794 0.397
In 0.500 0.140 0.398
In 0.500 0.398 0.140
In 0.500 0.654 0.654
Ag 0.500 0.064 0.731
Ag 0.500 0.731 0.064
Pt 0.000 0.397 0.397
CELL_PARAMETERS angstrom
3.985 0.000 0.000
0.000 6.706 3.869
0.000 -6.706 3.869
```

Summary:
theoretical density	8769	kg/m³
calculated total energy	-4.772	eV per atom
total moment	0.0	Bohr magnetons per cell
calculated volume	23.0	Å³ per atom

=====

Compound: Tm3In3Ag2Pt
Source: the Open Quantum Materials Database
Functional: GGA-PBE
Structure: optimized geometry Values from VASP.

Cell and atoms, written as Quantum ESPRESSO input:
```
&SYSTEM
  ibrav = 0, nat = 9, ntyp = 4
/
ATOMIC_SPECIES
Tm 168.93 Tm.upf
In 114.82 In.upf
Ag 107.87 Ag.upf
Pt 195.08 Pt.upf
ATOMIC_POSITIONS crystal
Tm 0.000 0.605 0.000
Tm 0.395 0.395 0.000
Tm 0.605 0.000 0.000
In 0.000 0.261 0.500
In 0.261 0.000 0.500
In 0.739 0.739 0.500
Ag 0.333 0.667 0.500
Ag 0.667 0.333 0.500
Pt 0.000 0.000 0.000
CELL_PARAMETERS angstrom
7.700 0.000 0.000
-3.850 6.668 0.000
0.000 0.000 3.889
```

Summary:
theoretical density	10496	kg/m³
calculated total energy	-4.288	eV per atom
total moment	0.0	Bohr magnetons per cell
calculated volume	22.2	Å³ per atom

=====

Compound: Y2TmIn3AgPt2
Source: the Open Quantum Materials Database
Functional: GGA-PBE
Structure: optimized geometry Values from VASP.

Cell and atoms, written as Quantum ESPRESSO input:
```
&SYSTEM
  ibrav = 0, nat = 9, ntyp = 5
/
ATOMIC_SPECIES
Y 88.91 Y.upf
Tm 168.93 Tm.upf
In 114.82 In.upf
Ag 107.87 Ag.upf
Pt 195.08 Pt.upf
ATOMIC_POSITIONS crystal
Y 0.000 0.204 0.796
Y 0.000 0.796 0.204
Tm 0.000 0.614 0.614
In 0.500 0.205 0.474
In 0.500 0.474 0.205
In 0.500 0.934 0.934
Ag 0.000 0.205 0.205
Pt 0.500 0.539 0.867
Pt 0.500 0.867 0.539
CELL_PARAMETERS angstrom
3.760 0.000 0.000
0.000 6.757 3.919
0.000 -6.757 3.919
```

Summary:
theoretical density	9915	kg/m³
calculated total energy	-5.332	eV per atom
total moment	0.0	Bohr magnetons per cell
calculated volume	22.1	Å³ per atom

=====

Compound: YTm2In3AgPt2
Source: the Open Quantum Materials Database
Functional: GGA-PBE
Structure: optimized geometry Values from VASP.

Cell and atoms, written as Quantum ESPRESSO input:
```
&SYSTEM
  ibrav = 0, nat = 9, ntyp = 5
/
ATOMIC_SPECIES
Y 88.91 Y.upf
Tm 168.93 Tm.upf
In 114.82 In.upf
Ag 107.87 Ag.upf
Pt 195.08 Pt.upf
ATOMIC_POSITIONS crystal
Y 0.000 0.000 0.000
Tm 0.000 0.408 0.818
Tm 0.000 0.818 0.408
In 0.500 0.139 0.409
In 0.500 0.409 0.139
In 0.500 0.677 0.677
Ag 0.000 0.409 0.409
Pt 0.500 0.076 0.738
Pt 0.500 0.738 0.076
CELL_PARAMETERS angstrom
3.740 0.000 0.000
0.000 6.775 3.894
0.000 -6.775 3.894
```

Summary:
theoretical density	10683	kg/m³
calculated total energy	-5.108	eV per atom
total moment	0.0	Bohr magnetons per cell
calculated volume	21.9	Å³ per atom